VASP calculation (PBE) on a relaxed La3ReRu crystal.

Cell and atoms, written as POSCAR:
```
La3ReRu
1.0
5.298 0.000 0.000
0.000 5.298 0.000
0.000 0.000 5.298
La Re Ru
3 1 1
Direct
0.000 0.000 0.500
0.000 0.500 0.000
0.500 0.000 0.000
0.500 0.500 0.500
0.000 0.000 0.000
```

Results
E_tot   -6.62 eV per atom
Crystal system   cubic
Energy above the lowest structure with this stoichiometry   0.0 meV/atom
Formation energy   0.678 eV per atom

---

VASP calculation (PBE) on a relaxed LaReRu crystal.

Cell and atoms, written as POSCAR:
```
LaReRu
1.0
4.127 0.000 0.000
-2.064 3.574 0.000
0.000 0.000 4.767
La Re Ru
1 1 1
Direct
0.000 0.000 0.000
0.667 0.333 0.456
0.333 0.667 0.535
```

Results
E_tot   -8.79 eV per atom
Crystal system   trigonal
Energy above the lowest structure with this stoichiometry   0.0 meV/atom
Formation energy   0.098 eV per atom

---

Which of these has the highest E_tot? La3ReRu

---

Repeat the second record exactly.
VASP calculation (PBE) on a relaxed LaReRu crystal.

Cell and atoms, written as POSCAR:
```
LaReRu
1.0
4.127 0.000 0.000
-2.064 3.574 0.000
0.000 0.000 4.767
La Re Ru
1 1 1
Direct
0.000 0.000 0.000
0.667 0.333 0.456
0.333 0.667 0.535
```

Results
E_tot   -8.79 eV per atom
Crystal system   trigonal
Energy above the lowest structure with this stoichiometry   0.0 meV/atom
Formation energy   0.098 eV per atom

---

Which of these has the highest formation energy? La3ReRu

---

Repeat the second record exactly.
VASP calculation (PBE) on a relaxed LaReRu crystal.

Cell and atoms, written as POSCAR:
```
LaReRu
1.0
4.127 0.000 0.000
-2.064 3.574 0.000
0.000 0.000 4.767
La Re Ru
1 1 1
Direct
0.000 0.000 0.000
0.667 0.333 0.456
0.333 0.667 0.535
```

Results
E_tot   -8.79 eV per atom
Crystal system   trigonal
Energy above the lowest structure with this stoichiometry   0.0 meV/atom
Formation energy   0.098 eV per atom